w:
An optimized crystal structure of Ca2NiH4. Source: Alexandria, functional PBE-GGA.

a b c (Å): 3.476 3.476 7.405
angles (deg): 76.43 76.43 90.00
Fractional positions:
H1 0.000 0.500 0.000
Ca1 0.629 0.629 0.742
H2 0.119 0.119 0.762
H3 0.500 0.000 0.000
Ca2 0.371 0.371 0.258
Ni1 0.000 0.000 0.000
H4 0.881 0.881 0.238

Summary:
Fermi-level density of states = 0.211 states/eV per atom


x:
An optimized crystal structure of Ca2NiH4. Source: Alexandria, functional PBE-GGA.

a b c (Å): 5.124 4.937 7.153
angles (deg): 90.00 101.55 90.00
Fractional positions:
H1 0.082 0.750 0.357
Ca1 0.747 0.750 0.552
H2 0.202 0.750 0.000
H3 0.509 0.998 0.268
Ni1 0.696 0.250 0.772
Ca2 0.746 0.750 0.037
H4 0.491 0.498 0.732
Ca3 0.254 0.250 0.963
H5 0.798 0.250 0.000
H6 0.509 0.502 0.268
Ni2 0.304 0.750 0.228
H7 0.918 0.250 0.643
H8 0.491 0.002 0.732
Ca4 0.253 0.250 0.448


Winner for stability: x